A crystal of AlCd2Os relaxed with PBEsol, computed with meta-GGA SCAN.

a b c (Å): 3.908 3.908 4.310
angles (deg): 90.00 90.00 90.00
Element x y z (fractional)
Al (0.000, 0.000, 0.000)
Cd (0.000, 0.500, 0.500)
Cd (0.500, 0.000, 0.500)
Os (0.500, 0.500, 0.000)

Computed properties:
As for the space group: P4/mmm. The value obtained for the total magnetization is 0.00 μB/f.u. The crystal system is tetragonal.

A crystal of Al2CdOs relaxed with PBEsol, computed with meta-GGA SCAN.

a b c (Å): 4.556 3.019 4.858
angles (deg): 90.00 111.02 90.00
Element x y z (fractional)
Al (0.000, 0.000, 0.000)
Al (0.000, 0.500, 0.500)
Cd (0.500, 0.000, 0.500)
Os (0.500, 0.500, 0.000)

Computed properties:
As for the space group: P2/m. The value obtained for the total magnetization is 0.00 μB/f.u. The crystal system is monoclinic.

A crystal of AlCd2Os relaxed with PBEsol, computed with meta-GGA SCAN.

a b c (Å): 3.176 3.176 6.782
angles (deg): 90.00 90.00 90.00
Element x y z (fractional)
Al (0.000, 0.000, 0.000)
Cd (0.000, 0.000, 0.574)
Cd (0.500, 0.500, 0.283)
Os (0.500, 0.500, 0.845)

Computed properties:
As for the space group: P4mm. The value obtained for the total magnetization is 0.00 μB/f.u. The crystal system is tetragonal.

A crystal of Al2CdOs relaxed with PBEsol, computed with meta-GGA SCAN.

a b c (Å): 8.709 3.061 4.920
angles (deg): 90.00 101.96 90.00
Element x y z (fractional)
Al (0.233, 0.000, 0.205)
Al (0.267, 0.500, 0.795)
Al (0.733, 0.500, 0.205)
Al (0.767, 0.000, 0.795)
Cd (0.000, 0.000, 0.500)
Cd (0.500, 0.500, 0.500)
Os (0.000, 0.500, 0.000)
Os (0.500, 0.000, 0.000)

Computed properties:
As for the space group: C2/m. The value obtained for the total magnetization is 0.00 μB/f.u. The crystal system is monoclinic.

A crystal of Al2CdOs relaxed with PBEsol, computed with meta-GGA SCAN.

a b c (Å): 2.972 4.884 9.043
angles (deg): 90.00 90.00 90.00
Element x y z (fractional)
Al (0.000, 0.000, 0.220)
Al (0.000, 0.000, 0.780)
Al (0.500, 0.500, 0.220)
Al (0.500, 0.500, 0.780)
Cd (0.000, 0.500, 0.500)
Cd (0.500, 0.000, 0.500)
Os (0.000, 0.500, 0.000)
Os (0.500, 0.000, 0.000)

Computed properties:
As for the space group: Cmmm. The value obtained for the total magnetization is 0.00 μB/f.u. The crystal system is orthorhombic.

A crystal of AlCd2Os relaxed with PBEsol, computed with meta-GGA SCAN.

a b c (Å): 2.826 4.781 10.523
angles (deg): 90.00 90.00 90.00
Element x y z (fractional)
Al (0.000, 0.000, 0.000)
Al (0.500, 0.500, 0.000)
Cd (0.000, 0.500, 0.266)
Cd (0.000, 0.500, 0.734)
Cd (0.500, 0.000, 0.266)
Cd (0.500, 0.000, 0.734)
Os (0.000, 0.000, 0.500)
Os (0.500, 0.500, 0.500)

Computed properties:
As for the space group: Cmmm. The value obtained for the total magnetization is 0.69 μB/f.u. The crystal system is orthorhombic.

Number 1: formation enthalpy at 0 K 261 meV per atom, total energy -34.854 eV per atom. Number 2: formation enthalpy at 0 K 66 meV per atom, total energy -29.383 eV per atom. Number 3: formation enthalpy at 0 K 24 meV per atom, total energy -35.092 eV per atom. Number 4: formation enthalpy at 0 K -46 meV per atom, total energy -29.496 eV per atom. Number 5: formation enthalpy at 0 K 35 meV per atom, total energy -29.415 eV per atom. Number 6: formation enthalpy at 0 K 487 meV per atom, total energy -34.628 eV per atom.